[1]
A relaxed Pr3ZnRh crystal. Source: Alexandria, functional PBE-GGA.

```
Pr3ZnRh
1.0
6.999 0.000 0.000
0.000 5.328 0.000
-0.770 0.000 7.727
Pr Zn Rh
6 2 2
direct
0.000 0.000 0.000
0.002 0.500 0.669
0.273 0.500 0.275
0.458 0.500 0.845
0.548 0.000 0.517
0.779 0.500 0.213
0.062 0.000 0.413
0.475 0.000 0.064
0.236 0.000 0.738
0.618 0.500 0.520
```

Summary:
The calculation puts the excess energy over the best structure of this formula in the dataset at 102.3 meV/atom.



[2]
A relaxed Pr2Zn15Rh2 crystal. Source: Alexandria, functional PBE-GGA.

```
Pr2Zn15Rh2
1.0
4.534 2.618 4.394
-4.534 2.618 4.394
0.000 -5.235 4.394
Pr Zn Rh
2 15 2
direct
0.164 0.164 0.164
0.836 0.836 0.836
0.000 0.500 0.500
0.152 0.152 0.651
0.152 0.651 0.152
0.219 0.500 0.781
0.219 0.781 0.500
0.349 0.848 0.848
0.500 0.000 0.500
0.500 0.219 0.781
0.500 0.500 0.000
0.500 0.781 0.219
0.651 0.152 0.152
0.781 0.219 0.500
0.781 0.500 0.219
0.848 0.349 0.848
0.848 0.848 0.349
0.391 0.391 0.391
0.609 0.609 0.609
```



For reference, energy relative to the elements by record: -1.4; -5.8 eV per formula unit.
For reference, density by record: 6.81; 7.80 g/cm3.
For reference, spin magnetization by record: 0.0; 0.0 μB/f.u..